(1)
DFT (GGA-PBE) results for KLaZn4 after structural relaxation.

abc: 5.7509 5.7509 5.7509
angles: 60.00 60.00 60.00
Positions (direct):
K  0.0000  0.0000  0.0000
La  0.7500  0.7500  0.7500
Zn  0.3765  0.3765  0.3765
Zn  0.3765  0.3765  0.8706
Zn  0.3765  0.8706  0.3765
Zn  0.8706  0.3765  0.3765

Computed properties:
uncorrected energy	-1.87	eV/atom
calculated volume	134.49	Å³/cell
total magnetic moment	0.00	Bohr magnetons per cell
energy of formation	-0.02	eV/atom
crystal system	cubic

=====

(2)
DFT (GGA-PBE) results for KLa2Zn2 after structural relaxation.

abc: 9.2755 9.2755 3.4925
angles: 90.00 90.00 90.00
Positions (direct):
K  0.0000  0.0000  0.0000
K  0.5000  0.5000  0.0000
La  0.1222  0.3778  0.0000
La  0.3778  0.8778  0.0000
La  0.6222  0.1222  0.0000
La  0.8778  0.6222  0.0000
Zn  0.1686  0.6686  0.5000
Zn  0.3314  0.1686  0.5000
Zn  0.6686  0.8314  0.5000
Zn  0.8314  0.3314  0.5000

Computed properties:
uncorrected energy	-2.71	eV/atom
calculated volume	300.47	Å³/cell
total magnetic moment	0.00	Bohr magnetons per cell
energy of formation	-0.01	eV/atom
crystal system	tetragonal